# Na2UMn2O6, optimized geometry, DFT PBE with a Hubbard U
# - space group = C2/m
# - theoretical density (g cm⁻³) = 5.802
# - final energy (Ry/atom) = -0.5238
data_Na2UMn2O6
_chemical_formula_sum 'Na2 U1 Mn2 O6'
_space_group_name_H-M_alt 'P 1'
_space_group_IT_number 1
_cell_length_a 5.359
_cell_length_b 5.359
_cell_length_c 5.988
_cell_angle_alpha 99.63
_cell_angle_beta 99.63
_cell_angle_gamma 120.09
loop_
_space_group_symop_operation_xyz
'x,y,z'
loop_
_atom_site_label
_atom_site_type_symbol
_atom_site_fract_x
_atom_site_fract_y
_atom_site_fract_z
Na1 Na 0.176 0.824 0.000
Na2 Na 0.824 0.176 0.000
U1 U 0.000 0.000 0.500
Mn1 Mn 0.336 0.664 0.500
Mn2 Mn 0.664 0.336 0.500
O1 O 0.063 0.419 0.692
O2 O 0.268 0.268 0.302
O3 O 0.419 0.063 0.692
O4 O 0.581 0.937 0.308
O5 O 0.732 0.732 0.698
O6 O 0.937 0.581 0.308